# 1
Below is a geometry-optimized Ac5TbY4 structure, with properties calculated at the PBE-GGA level.

- DOS at the Fermi energy: 15.13 states/eV per cell
- Crystal system: tetragonal
- Space group: No. 123
- Energy of formation from the pure elements: 0.449 eV per formula unit
- M_tot: 0.00 μB per atom

Lattice parameters (Å, degrees): 3.8896 3.8896 25.1536 90.00 90.00 90.00
Last column: nearest neighbours and their distance in Å.
Sites, in units of the cell vectors:
Ac (0.5000, 0.5000, 0.5000)  8 Y 3.73, 4 Ac 3.89
Ac (0.5000, 0.5000, 0.6999)  8 Y 3.73, 4 Ac 3.89
Ac (0.5000, 0.5000, 0.3001)  8 Y 3.73, 4 Ac 3.89
Ac (0.5000, 0.5000, 0.1000)  4 Tb 3.73, 4 Y 3.73, 4 Ac 3.89
Ac (0.5000, 0.5000, 0.9000)  4 Tb 3.73, 4 Y 3.73, 4 Ac 3.89
Tb (0.0000, 0.0000, 0.0000)  8 Ac 3.73, 4 Tb 3.89
Y (0.0000, 0.0000, 0.7998)  8 Ac 3.73, 4 Y 3.89
Y (0.0000, 0.0000, 0.5999)  8 Ac 3.73, 4 Y 3.89
Y (0.0000, 0.0000, 0.4001)  8 Ac 3.73, 4 Y 3.89
Y (0.0000, 0.0000, 0.2002)  8 Ac 3.73, 4 Y 3.89

=====

# 2
Below is a geometry-optimized AcTb5Y4 structure, with properties calculated at the PBE-GGA level.

- DOS at the Fermi energy: 13.87 states/eV per cell
- Crystal system: triclinic
- Space group: No. 2
- Energy of formation from the pure elements: 2.064 eV per formula unit
- M_tot: 0.00 μB per atom

Lattice parameters (Å, degrees): 3.6036 11.1317 8.8513 90.55 101.76 90.04
Last column: nearest neighbours and their distance in Å.
Sites, in units of the cell vectors:
Y (0.0261, 0.7429, 0.0537)  4 Tb 3.28-3.41, 2 Ac 3.42, 4 Y 3.60
Y (0.9739, 0.2571, 0.9463)  4 Tb 3.28-3.41, 2 Ac 3.42, 4 Y 3.60
Y (0.6543, 0.2495, 0.3053)  4 Y 3.60, 7 Tb 3.68-3.88, 1 Ac 3.82
Y (0.3457, 0.7505, 0.6947)  4 Y 3.60, 7 Tb 3.68-3.88, 1 Ac 3.82
Tb (0.1745, 0.5474, 0.3468)  2 Y 3.36-3.75, 6 Tb 3.38-3.60
Tb (0.8255, 0.4526, 0.6532)  2 Y 3.36-3.75, 6 Tb 3.38-3.60
Tb (0.5000, 0.5000, 0.0000)  4 Y 3.28, 6 Tb 3.54-3.60
Tb (0.1764, 0.9437, 0.3528)  4 Tb 3.35-3.60, 2 Y 3.41-3.68, 2 Ac 3.61
Tb (0.8236, 0.0563, 0.6472)  4 Tb 3.35-3.60, 2 Y 3.41-3.68, 2 Ac 3.61
Ac (0.5000, 0.0000, 0.0000)  6 Y 3.42-3.82, 2 Ac 3.60, 4 Tb 3.61

=====

# 3
Below is a geometry-optimized AcTb7Y3 structure, with properties calculated at the PBE-GGA level.

- DOS at the Fermi energy: 18.00 states/eV per cell
- Crystal system: trigonal
- Space group: No. 156
- Energy of formation from the pure elements: 2.323 eV per formula unit
- M_tot: 0.00 μB per atom

Lattice parameters (Å, degrees): 8.7327 7.1432 7.1432 120.00 90.00 90.00
Last column: nearest neighbours and their distance in Å.
Sites, in units of the cell vectors:
Tb (0.1144, 0.1671, 0.3342)  2 Y 3.53, 1 Ac 3.54, 8 Tb 3.56-3.58
Tb (0.1144, 0.1671, 0.8329)  2 Y 3.53, 1 Ac 3.54, 8 Tb 3.56-3.58
Tb (0.4482, 0.3362, 0.1681)  7 Tb 3.52-3.60, 2 Ac 3.57, 2 Y 3.60
Tb (0.1196, 0.6667, 0.3333)  9 Tb 3.52-3.57, 3 Y 3.55
Tb (0.1144, 0.6658, 0.8329)  2 Y 3.53, 1 Ac 3.54, 8 Tb 3.56-3.58
Tb (0.4482, 0.8319, 0.1681)  7 Tb 3.52-3.60, 2 Ac 3.57, 2 Y 3.60
Tb (0.4482, 0.8319, 0.6638)  7 Tb 3.52-3.60, 2 Ac 3.57, 2 Y 3.60
Y (0.7876, 0.9964, 0.4982)  5 Tb 3.53-3.60, 4 Y 3.53-3.61, 1 Ac 3.65
Y (0.7876, 0.5018, 0.4982)  5 Tb 3.53-3.60, 4 Y 3.53-3.61, 1 Ac 3.65
Y (0.7876, 0.5018, 0.0036)  5 Tb 3.53-3.60, 4 Y 3.53-3.61, 1 Ac 3.65
Ac (0.4448, 0.3333, 0.6667)  9 Tb 3.54-3.57, 3 Y 3.65

=====

# 4
Below is a geometry-optimized AcTb6Y5 structure, with properties calculated at the PBE-GGA level.

- DOS at the Fermi energy: 16.47 states/eV per cell
- Crystal system: monoclinic
- Space group: No. 12
- Energy of formation from the pure elements: 0.371 eV per formula unit
- M_tot: 0.00 μB per atom

Lattice parameters (Å, degrees): 11.9490 6.2359 6.2348 59.99 85.02 80.00
Last column: nearest neighbours and their distance in Å.
Sites, in units of the cell vectors:
Y (0.0000, 0.6666, 0.6667)  3 Y 3.60, 3 Ac 3.60, 6 Tb 3.64
Y (0.0000, 0.3334, 0.3333)  3 Y 3.60, 3 Ac 3.60, 6 Tb 3.64
Y (0.5000, 0.5000, 0.0000)  6 Tb 3.55-3.57, 6 Y 3.59-3.60
Y (0.5000, 0.8328, 0.3343)  6 Tb 3.55-3.57, 6 Y 3.59-3.61
Y (0.5000, 0.1672, 0.6657)  6 Tb 3.55-3.57, 6 Y 3.59-3.61
Tb (0.2544, 0.2509, 0.0000)  5 Y 3.55-3.64, 6 Tb 3.59-3.63, 1 Ac 3.65
Tb (0.7458, 0.4204, 0.6643)  5 Y 3.55-3.64, 6 Tb 3.59-3.63, 1 Ac 3.65
Tb (0.2542, 0.5796, 0.3357)  5 Y 3.55-3.64, 6 Tb 3.59-3.63, 1 Ac 3.65
Tb (0.7458, 0.0847, 0.3357)  5 Y 3.55-3.64, 6 Tb 3.59-3.63, 1 Ac 3.65
Tb (0.7456, 0.7491, 0.0000)  5 Y 3.55-3.64, 6 Tb 3.59-3.63, 1 Ac 3.65
Tb (0.2542, 0.9153, 0.6643)  5 Y 3.55-3.64, 6 Tb 3.59-3.63, 1 Ac 3.65
Ac (0.0000, 0.0000, 0.0000)  6 Y 3.60, 6 Tb 3.65

=====

# 5
Below is a geometry-optimized Ac2TbY structure, with properties calculated at the PBE-GGA level.

- DOS at the Fermi energy: 6.70 states/eV per cell
- Crystal system: cubic
- Space group: No. 225
- Energy of formation from the pure elements: 0.349 eV per formula unit
- M_tot: 0.00 μB per atom

Lattice parameters (Å, degrees): 6.0048 6.0048 6.0048 60.00 60.00 60.00
Last column: nearest neighbours and their distance in Å.
Sites, in units of the cell vectors:
Tb (0.0000, 0.0000, 0.0000)  8 Ac 3.68
Ac (0.2500, 0.2500, 0.2500)  4 Tb 3.68, 4 Y 3.68
Ac (0.7500, 0.7500, 0.7500)  4 Y 3.68, 4 Tb 3.68
Y (0.5000, 0.5000, 0.5000)  8 Ac 3.68

=====

# 6
Below is a geometry-optimized AcTb8Y2 structure, with properties calculated at the PBE-GGA level.

- DOS at the Fermi energy: 17.76 states/eV per cell
- Crystal system: monoclinic
- Space group: No. 12
- Energy of formation from the pure elements: 1.432 eV per formula unit
- M_tot: 0.00 μB per atom

Lattice parameters (Å, degrees): 5.5401 10.3878 10.3878 39.60 93.19 93.19
Last column: nearest neighbours and their distance in Å.
Sites, in units of the cell vectors:
Tb (0.2714, 0.5958, 0.1329)  4 Tb 3.26-3.54, 3 Y 3.47-3.58
Tb (0.7286, 0.8671, 0.4042)  4 Tb 3.26-3.54, 3 Y 3.47-3.58
Tb (0.2395, 0.5469, 0.5469)  2 Tb 3.14-3.51, 1 Y 3.28
Tb (0.2714, 0.1329, 0.5958)  4 Tb 3.26-3.54, 3 Y 3.47-3.58
Tb (0.2334, 0.1899, 0.1899)  4 Y 3.33-3.55, 4 Tb 3.49-3.54
Tb (0.7605, 0.4531, 0.4531)  2 Tb 3.14-3.51, 1 Y 3.28
Tb (0.7666, 0.8101, 0.8101)  4 Y 3.33-3.55, 4 Tb 3.49-3.54
Tb (0.7286, 0.4042, 0.8671)  4 Tb 3.26-3.54, 3 Y 3.47-3.58
Y (0.7524, 0.2850, 0.2850)  11 Tb 3.28-3.58
Y (0.2476, 0.7150, 0.7150)  11 Tb 3.28-3.58
Ac (0.0000, 0.0000, 0.0000)  10 Tb 3.65-3.86

=====

# 7
Below is a geometry-optimized Ac2Tb7Y4 structure, with properties calculated at the PBE-GGA level.

- DOS at the Fermi energy: 20.37 states/eV per cell
- Crystal system: trigonal
- Space group: No. 162
- Energy of formation from the pure elements: 2.778 eV per formula unit
- M_tot: 0.00 μB per atom

Lattice parameters (Å, degrees): 6.2204 6.2204 13.3750 90.00 90.00 120.00
Last column: nearest neighbours and their distance in Å.
Sites, in units of the cell vectors:
Y (0.0000, 0.0000, 0.6049)  1 Y 2.81
Y (0.3333, 0.6667, 0.5000)  9 Y 3.59-3.86
Y (0.6667, 0.3333, 0.5000)  9 Y 3.59-3.86
Y (0.0000, 0.0000, 0.3951)  1 Y 2.81
Tb (0.0000, 0.0000, 0.0000)  6 Ac 3.59, 6 Tb 3.72
Tb (0.0000, 0.3609, 0.7779)  1 Y 3.22, 4 Tb 3.45, 2 Ac 3.58
Tb (0.3609, 0.0000, 0.7779)  1 Y 3.22, 4 Tb 3.45, 2 Ac 3.58
Tb (0.3609, 0.3609, 0.2221)  1 Y 3.22, 4 Tb 3.45, 2 Ac 3.58
Tb (0.6391, 0.0000, 0.2221)  1 Y 3.22, 4 Tb 3.45, 2 Ac 3.58
Tb (0.6391, 0.6391, 0.7779)  1 Y 3.22, 4 Tb 3.45, 2 Ac 3.58
Tb (0.0000, 0.6391, 0.2221)  1 Y 3.22, 4 Tb 3.45, 2 Ac 3.58
Ac (0.6667, 0.3333, 0.0000)  9 Tb 3.58-3.59, 3 Ac 3.59
Ac (0.3333, 0.6667, 0.0000)  9 Tb 3.58-3.59, 3 Ac 3.59

=====

# 8
Below is a geometry-optimized Ac2Tb5Y12 structure, with properties calculated at the PBE-GGA level.

- DOS at the Fermi energy: 26.56 states/eV per cell
- Crystal system: triclinic
- Space group: No. 2
- Energy of formation from the pure elements: 2.493 eV per formula unit
- M_tot: 0.00 μB per atom

Lattice parameters (Å, degrees): 7.3036 14.5170 15.9506 153.18 95.09 99.05
Last column: nearest neighbours and their distance in Å.
Sites, in units of the cell vectors:
Tb (0.4093, 0.9465, 0.5481)  2 Tb 3.24-3.39, 5 Y 3.38-3.57
Tb (0.0000, 0.0000, 0.5000)  2 Tb 3.39, 2 Y 3.52
Tb (0.7517, 0.5031, 0.5000)  6 Y 3.55-3.77, 4 Ac 3.56-3.60, 2 Tb 3.64-3.66
Tb (0.5907, 0.0535, 0.4519)  2 Tb 3.24-3.39, 5 Y 3.38-3.57
Tb (0.2483, 0.4969, 0.5000)  6 Y 3.55-3.77, 4 Ac 3.56-3.60, 2 Tb 3.64-3.66
Y (0.4865, 0.0564, 0.8539)  2 Tb 3.46-3.58, 8 Y 3.48-3.68, 2 Ac 3.57-3.62
Y (0.9921, 0.0600, 0.8541)  8 Y 3.36-3.68, 1 Tb 3.55, 2 Ac 3.58-3.64
Y (0.4897, 0.5673, 0.3619)  3 Tb 3.41-3.63, 7 Y 3.51-3.66, 1 Ac 3.65
Y (0.4024, 0.4528, 0.0493)  3 Y 3.16-3.53
Y (0.0079, 0.9400, 0.1459)  8 Y 3.36-3.68, 1 Tb 3.55, 2 Ac 3.58-3.64
Y (0.9918, 0.5739, 0.3589)  3 Tb 3.42-3.77, 7 Y 3.46-3.66, 1 Ac 3.67
Y (0.5135, 0.9436, 0.1461)  2 Tb 3.46-3.58, 8 Y 3.48-3.68, 2 Ac 3.57-3.62
Y (0.5103, 0.4327, 0.6381)  3 Tb 3.41-3.63, 7 Y 3.51-3.66, 1 Ac 3.65
Y (0.5976, 0.5472, 0.9507)  3 Y 3.16-3.53
Y (0.8885, 0.4075, 0.0109)  5 Y 3.22-3.60, 2 Tb 3.38-3.52
Y (0.0082, 0.4261, 0.6411)  3 Tb 3.42-3.77, 7 Y 3.46-3.66, 1 Ac 3.67
Y (0.1115, 0.5925, 0.9891)  5 Y 3.22-3.60, 2 Tb 3.38-3.52
Ac (0.2458, 0.9954, 0.9985)  4 Tb 3.56-3.60, 6 Y 3.57-3.67, 2 Ac 3.62-3.69
Ac (0.7542, 0.0046, 0.0015)  4 Tb 3.56-3.60, 6 Y 3.57-3.67, 2 Ac 3.62-3.69

=====

# 9
Below is a geometry-optimized AcTb4Y8 structure, with properties calculated at the PBE-GGA level.

- DOS at the Fermi energy: 22.13 states/eV per cell
- Crystal system: trigonal
- Space group: No. 166
- Energy of formation from the pure elements: 6.837 eV per formula unit
- M_tot: 0.17 μB per atom

Lattice parameters (Å, degrees): 7.8612 7.8612 7.8612 90.08 90.08 90.08
Last column: nearest neighbours and their distance in Å.
Sites, in units of the cell vectors:
Y (0.7627, 0.7627, 0.7627)  4 Tb 3.23-3.47, 1 Ac 3.57
Y (0.7629, 0.2381, 0.7629)  4 Tb 3.23-3.47, 1 Ac 3.58
Y (0.7619, 0.2371, 0.2371)  4 Tb 3.23-3.47, 1 Ac 3.58
Y (0.2381, 0.7629, 0.7629)  4 Tb 3.23-3.47, 1 Ac 3.58
Y (0.2373, 0.2373, 0.2373)  4 Tb 3.23-3.47, 1 Ac 3.57
Y (0.2371, 0.2371, 0.7619)  4 Tb 3.23-3.47, 1 Ac 3.58
Y (0.2371, 0.7619, 0.2371)  4 Tb 3.23-3.47, 1 Ac 3.58
Y (0.7629, 0.7629, 0.2381)  4 Tb 3.23-3.47, 1 Ac 3.58
Tb (0.0000, 0.0000, 0.0000)  8 Y 3.23
Tb (0.0000, 0.5000, 0.5000)  8 Y 3.46-3.47
Tb (0.5000, 0.5000, 0.0000)  8 Y 3.46-3.47
Tb (0.5000, 0.0000, 0.5000)  8 Y 3.46-3.47
Ac (0.5000, 0.5000, 0.5000)  8 Y 3.57-3.58, 6 Tb 3.93

=====

# 10
Below is a geometry-optimized Ac3TbY structure, with properties calculated at the PBE-GGA level.

- DOS at the Fermi energy: 30.66 states/eV per cell
- Crystal system: orthorhombic
- Space group: No. 52
- Energy of formation from the pure elements: 0.915 eV per formula unit
- M_tot: 0.00 μB per atom

Lattice parameters (Å, degrees): 6.5372 9.3719 13.3336 90.00 90.00 90.00
Last column: nearest neighbours and their distance in Å.
Sites, in units of the cell vectors:
Ac (0.1493, 0.2500, 0.2500)  2 Tb 3.55, 2 Y 3.58, 2 Ac 3.81
Ac (0.0903, 0.1739, 0.9295)  2 Y 3.64-3.67, 2 Tb 3.65-3.78, 5 Ac 3.77-3.94
Ac (0.9097, 0.6739, 0.4295)  2 Y 3.64-3.67, 2 Tb 3.65-3.78, 5 Ac 3.77-3.94
Ac (0.5903, 0.1739, 0.0705)  2 Y 3.64-3.67, 2 Tb 3.65-3.78, 5 Ac 3.77-3.94
Ac (0.4097, 0.6739, 0.5705)  2 Y 3.64-3.67, 2 Tb 3.65-3.78, 5 Ac 3.77-3.94
Ac (0.6493, 0.2500, 0.7500)  2 Tb 3.55, 2 Y 3.58, 2 Ac 3.81
Ac (0.8507, 0.7500, 0.7500)  2 Tb 3.55, 2 Y 3.58, 2 Ac 3.81
Ac (0.4097, 0.8261, 0.9295)  2 Y 3.64-3.67, 2 Tb 3.65-3.78, 5 Ac 3.77-3.94
Ac (0.0903, 0.3261, 0.5705)  2 Y 3.64-3.67, 2 Tb 3.65-3.78, 5 Ac 3.77-3.94
Ac (0.3507, 0.7500, 0.2500)  2 Tb 3.55, 2 Y 3.58, 2 Ac 3.81
Ac (0.9097, 0.8261, 0.0705)  2 Y 3.64-3.67, 2 Tb 3.65-3.78, 5 Ac 3.77-3.94
Ac (0.5903, 0.3261, 0.4295)  2 Y 3.64-3.67, 2 Tb 3.65-3.78, 5 Ac 3.77-3.94
Tb (0.2500, 0.5000, 0.0565)  3 Y 3.36-3.76, 4 Ac 3.55-3.65, 2 Tb 3.60
Tb (0.2500, 0.0000, 0.4435)  3 Y 3.36-3.76, 4 Ac 3.55-3.65, 2 Tb 3.60
Tb (0.7500, 0.5000, 0.9435)  3 Y 3.36-3.76, 4 Ac 3.55-3.65, 2 Tb 3.60
Tb (0.7500, 0.0000, 0.5565)  3 Y 3.36-3.76, 4 Ac 3.55-3.65, 2 Tb 3.60
Y (0.2500, 0.0000, 0.6957)  3 Tb 3.36-3.76, 6 Ac 3.58-3.67
Y (0.7500, 0.0000, 0.3043)  3 Tb 3.36-3.76, 6 Ac 3.58-3.67
Y (0.2500, 0.5000, 0.8043)  3 Tb 3.36-3.76, 6 Ac 3.58-3.67
Y (0.7500, 0.5000, 0.1957)  3 Tb 3.36-3.76, 6 Ac 3.58-3.67

=====

# 11
Below is a geometry-optimized AcTbY structure, with properties calculated at the PBE-GGA level.

- DOS at the Fermi energy: 5.20 states/eV per cell
- Crystal system: hexagonal
- Space group: No. 187
- Energy of formation from the pure elements: 0.384 eV per formula unit
- M_tot: 0.00 μB per atom

Lattice parameters (Å, degrees): 3.6003 5.8854 5.8854 120.00 90.00 90.00
Last column: nearest neighbours and their distance in Å.
Sites, in units of the cell vectors:
Ac (0.1660, 0.0000, 0.0000)  3 Y 3.40, 2 Ac 3.60
Y (0.1672, 0.3333, 0.6667)  3 Ac 3.40, 2 Y 3.60
Tb (0.6667, 0.6667, 0.3333)  2 Tb 3.60, 6 Ac 3.84-3.85, 6 Y 3.84-3.85

=====

# 12
Below is a geometry-optimized AcTb8Y6 structure, with properties calculated at the PBE-GGA level.

- DOS at the Fermi energy: 24.58 states/eV per cell
- Crystal system: trigonal
- Space group: No. 148
- Energy of formation from the pure elements: 2.074 eV per formula unit
- M_tot: 0.00 μB per atom

Lattice parameters (Å, degrees): 9.0989 9.0989 8.7259 58.58 58.58 60.00
Last column: nearest neighbours and their distance in Å.
Sites, in units of the cell vectors:
Y (0.7563, 0.4671, 0.8771)  3 Tb 3.39-3.44, 2 Y 3.47, 1 Ac 3.53
Y (0.8995, 0.7563, 0.8771)  3 Tb 3.39-3.44, 2 Y 3.47, 1 Ac 3.53
Y (0.2437, 0.5329, 0.1229)  3 Tb 3.39-3.44, 2 Y 3.47, 1 Ac 3.53
Y (0.4671, 0.8995, 0.8771)  3 Tb 3.39-3.44, 2 Y 3.47, 1 Ac 3.53
Y (0.1005, 0.2437, 0.1229)  3 Tb 3.39-3.44, 2 Y 3.47, 1 Ac 3.53
Y (0.5329, 0.1005, 0.1229)  3 Tb 3.39-3.44, 2 Y 3.47, 1 Ac 3.53
Tb (0.8881, 0.2544, 0.5746)  2 Y 3.40-3.44, 5 Tb 3.42-3.47, 1 Ac 3.58
Tb (0.7456, 0.7171, 0.4254)  2 Y 3.40-3.44, 5 Tb 3.42-3.47, 1 Ac 3.58
Tb (0.5766, 0.5766, 0.2701)  4 Tb 3.20-3.43, 3 Y 3.39
Tb (0.4234, 0.4234, 0.7299)  4 Tb 3.20-3.43, 3 Y 3.39
Tb (0.2829, 0.8881, 0.5746)  2 Y 3.40-3.44, 5 Tb 3.42-3.47, 1 Ac 3.58
Tb (0.7171, 0.1119, 0.4254)  2 Y 3.40-3.44, 5 Tb 3.42-3.47, 1 Ac 3.58
Tb (0.1119, 0.7456, 0.4254)  2 Y 3.40-3.44, 5 Tb 3.42-3.47, 1 Ac 3.58
Tb (0.2544, 0.2829, 0.5746)  2 Y 3.40-3.44, 5 Tb 3.42-3.47, 1 Ac 3.58
Ac (0.0000, 0.0000, 0.0000)  6 Y 3.53, 6 Tb 3.58